Record 1
PBE-GGA Ta2S, optimized geometry; density = 11301 kg/m³; space group = No. 227; total energy = -50.367 eV for the cell shown
1.0
0.000 3.868 3.868
3.868 0.000 3.868
3.868 3.868 0.000
S Ta
2 4
Direct
0.000 0.000 0.000
0.250 0.250 0.250
0.625 0.625 0.125
0.625 0.125 0.625
0.125 0.625 0.625
0.625 0.625 0.625

=====

Record 2
PBE-GGA Ta2Te3S, optimized geometry; offset from the most stable computed form = 0.009 eV per atom; density = 8001 kg/m³; space group = No. 2; total energy = -80.530 eV for the cell shown
1.0
-4.940 3.357 3.652
-3.696 -5.292 -3.305
4.387 -4.840 3.683
S Ta Te
2 4 6
Direct
0.743 0.730 0.129
0.257 0.270 0.871
0.970 0.507 0.191
0.474 0.507 0.193
0.526 0.493 0.807
0.030 0.493 0.809
0.267 0.800 0.143
0.262 0.275 0.385
0.766 0.273 0.387
0.234 0.727 0.613
0.738 0.725 0.615
0.733 0.200 0.857

=====

Record 3
PBE-GGA Ta2Te3S, optimized geometry; offset from the most stable computed form = 0.000 eV per atom; density = 4810 kg/m³; space group = No. 6; total energy = -40.319 eV for the cell shown
1.0
-3.723 4.556 2.128
-2.857 -1.668 -1.428
0.241 -8.213 9.116
S Ta Te
1 2 3
Direct
0.822 0.000 0.127
0.898 0.500 0.007
0.446 0.000 0.008
0.327 0.500 0.160
0.672 0.000 0.839
0.179 0.500 0.858